First-principles (PBE with a Hubbard U) data for a relaxed structure of TbHfFe2O6, as listed in Alexandria via LeMat-Bulk.

E in eV per cell: -81.386

a = 5.3986 Å, b = 5.3999 Å, c = 5.7687 Å
α = 116.99°, β = 90.79°, γ = 119.81°
With the nearest neighbours (Å) after each atom.
Space group P1 (No. 1)
One atom of each set of equivalent atoms:
Tb1 0.0000 0.0000 0.0000 [1 per cell]  6 O 2.23-2.41
Hf1 0.5127 0.0245 0.5295 [1 per cell]  6 O 2.05-2.18
Fe1 0.2143 0.4286 0.6374 [1 per cell]  6 O 1.98-2.19
Fe2 0.7264 0.4494 0.1611 [1 per cell]  5 O 2.06-2.30
O1 0.1217 0.5476 0.3452 [1 per cell]  2 Fe 2.06-2.19, 1 Hf 2.07
O2 0.3436 0.2650 0.8320 [1 per cell]  2 Fe 2.01-2.24, 1 Hf 2.18
O3 0.4144 0.2337 0.3525 [1 per cell]  1 Hf 2.06, 2 Fe 2.14-2.16
O4 0.5674 0.9018 0.8220 [1 per cell]  1 Fe 1.98, 1 Hf 2.14
O5 0.8136 0.9456 0.3537 [1 per cell]  1 Hf 2.05, 2 Fe 2.14-2.16
O6 0.9256 0.4957 0.8207 [1 per cell]  1 Fe 1.98, 1 Hf 2.15